(1)
! NaCeSbO6 PBE optimized geometry; values from VASP
&SYSTEM
  ibrav = 0, nat = 9, ntyp = 4
/
ATOMIC_SPECIES
Na 22.99 Na.upf
Ce 140.12 Ce.upf
Sb 121.76 Sb.upf
O 16.00 O.upf
CELL_PARAMETERS angstrom
5.6353 0.0000 0.0000
-2.8177 4.8803 0.0000
0.0000 0.0000 4.7709
ATOMIC_POSITIONS angstrom
Na 0.0000 0.0000 0.0000
Ce 2.8177 1.6268 2.3855
Sb 0.0000 3.2536 0.0000
O -0.9666 1.8899 1.1011
O -1.6642 3.0983 3.6698
O 0.9666 1.8899 3.6698
O -0.6976 4.7725 1.1011
O 1.6642 3.0983 1.1011
O 0.6976 4.7725 3.6698
! raw formation energy = -1490 kJ/mol of formula units
! space-group type = P312
! calculated total energy = -56.6 eV/cell
! N(E_F) = 0.463 states/eV/atom

***

(2)
! NaSrCeSbO6 PBE optimized geometry; values from VASP
&SYSTEM
  ibrav = 0, nat = 10, ntyp = 5
/
ATOMIC_SPECIES
Na 22.99 Na.upf
Sr 87.62 Sr.upf
Ce 140.12 Ce.upf
Sb 121.76 Sb.upf
O 16.00 O.upf
CELL_PARAMETERS angstrom
0.0000 4.2099 4.2099
4.2099 0.0000 4.2099
4.2099 4.2099 0.0000
ATOMIC_POSITIONS angstrom
Na 0.0000 0.0000 0.0000
Sr 4.2099 4.2099 4.2099
Ce 6.3149 6.3149 6.3149
Sb 2.1050 2.1050 2.1050
O 2.1050 2.1050 0.1052
O 2.1050 0.1052 2.1050
O 4.1047 2.1050 2.1050
O 0.1052 2.1050 2.1050
O 2.1050 4.1047 2.1050
O 2.1050 2.1050 4.1047
! raw formation energy = -2300 kJ/mol of formula units
! space-group type = F-43m
! calculated total energy = -66.6 eV/cell
! N(E_F) = 0.000 states/eV/atom

***

(3)
! Na3CeSc2O6 PBE optimized geometry; values from VASP
&SYSTEM
  ibrav = 0, nat = 12, ntyp = 4
/
ATOMIC_SPECIES
Na 22.99 Na.upf
Ce 140.12 Ce.upf
Sc 44.96 Sc.upf
O 16.00 O.upf
CELL_PARAMETERS angstrom
2.8784 -4.9918 0.0000
2.8784 4.9918 0.0000
-1.9020 0.0000 5.5468
ATOMIC_POSITIONS angstrom
Na 0.0000 0.0000 0.0000
Na 2.8784 1.7256 0.0000
Na 2.8784 -1.7256 0.0000
Ce 1.9274 0.0000 2.7734
Sc 1.9274 3.3293 2.7734
Sc 1.9274 -3.3293 2.7734
O 0.9018 1.7768 1.6324
O -0.1237 0.0000 3.9283
O 0.9018 -1.7768 1.6324
O 2.9531 1.7768 3.9144
O 3.9786 0.0000 1.6184
O 2.9531 -1.7768 3.9144
! raw formation energy = -3151 kJ/mol of formula units
! space-group type = C2/m
! calculated total energy = -85.0 eV/cell
! N(E_F) = 0.288 states/eV/atom

***

(4)
! Na2CeSe2O6 PBE optimized geometry; values from VASP
&SYSTEM
  ibrav = 0, nat = 11, ntyp = 4
/
ATOMIC_SPECIES
Na 22.99 Na.upf
Ce 140.12 Ce.upf
Se 78.96 Se.upf
O 16.00 O.upf
CELL_PARAMETERS angstrom
5.9899 0.0000 0.0000
-2.9950 5.1874 0.0000
0.0000 0.0000 6.0544
ATOMIC_POSITIONS angstrom
Na 0.0000 3.4583 2.2747
Na 2.9950 1.7291 3.7797
Ce 0.0000 0.0000 0.0000
Se 0.0000 3.4583 5.2745
Se 2.9950 1.7291 0.7799
O -1.7337 3.6740 4.7039
O 0.6800 1.8490 4.7039
O 1.9413 0.3356 1.3506
O 1.0537 4.8518 4.7039
O 2.3150 3.3384 1.3506
O 4.7286 1.5134 1.3506
! raw formation energy = -1555 kJ/mol of formula units
! space-group type = P-3
! calculated total energy = -61.4 eV/cell
! N(E_F) = 0.454 states/eV/atom

***

(5)
! NaCeSiO4 PBE optimized geometry; values from VASP
&SYSTEM
  ibrav = 0, nat = 14, ntyp = 4
/
ATOMIC_SPECIES
Na 22.99 Na.upf
Ce 140.12 Ce.upf
Si 28.09 Si.upf
O 16.00 O.upf
CELL_PARAMETERS angstrom
6.0604 0.0000 0.0000
0.0000 5.5807 0.0000
-0.4842 0.0000 6.9347
ATOMIC_POSITIONS angstrom
Na 0.4110 1.3952 0.9930
Na 5.1652 4.1856 5.9417
Ce 1.5494 1.3952 4.0721
Ce 4.0268 4.1856 2.8625
Si 0.9621 4.1856 2.3690
Si 4.6140 1.3952 4.5656
O -0.2273 1.3952 5.6676
O 0.2607 4.1856 3.8640
O 1.9707 2.8813 2.2394
O 1.9707 5.4899 2.2394
O 3.6055 0.0909 4.6953
O 3.6055 2.6995 4.6953
O 5.3155 1.3952 3.0707
O 5.8034 4.1856 1.2671
! raw formation energy = -1872 kJ/mol of formula units
! space-group type = P2_1/m
! calculated total energy = -103.8 eV/cell
! N(E_F) = 0.918 states/eV/atom

***

(6)
! NaCeSi2O6 PBE optimized geometry; values from VASP
&SYSTEM
  ibrav = 0, nat = 20, ntyp = 4
/
ATOMIC_SPECIES
Na 22.99 Na.upf
Ce 140.12 Ce.upf
Si 28.09 Si.upf
O 16.00 O.upf
CELL_PARAMETERS angstrom
5.2048 -5.1693 0.0000
5.2048 5.1693 0.0000
-1.2239 0.0000 5.1606
ATOMIC_POSITIONS angstrom
Na 4.2868 3.6128 3.8705
Na 4.8988 -3.6128 1.2902
Ce 4.8988 1.2753 1.2902
Ce 4.2868 -1.2753 3.8705
Si 1.2609 0.8359 3.8711
Si 1.8729 -0.8359 1.2908
Si 7.3128 0.8359 3.8698
Si 7.9247 -0.8359 1.2895
O 3.3766 2.9238 1.7158
O 1.6013 0.2163 0.0024
O 0.9894 -0.2163 2.5827
O 2.8403 0.8020 4.2724
O 6.4210 2.9238 0.8645
O 3.4523 -0.8020 1.6921
O 5.7333 0.8020 3.4685
O 2.7646 -2.9238 4.2961
O 6.3453 -0.8020 0.8882
O 8.1962 0.2163 2.5779
O 7.5843 -0.2163 5.1583
O 5.8090 -2.9238 3.4449
! raw formation energy = -2711 kJ/mol of formula units
! space-group type = C2/c
! calculated total energy = -151.9 eV/cell
! N(E_F) = 0.351 states/eV/atom